1.
# CuH6C2SeI | Alexandria via LeMat-Bulk | PBE | optimized geometry
# calculated total energy: -4.5005 eV per atom
data_CuH6C2SeI
_cell_length_a 7.958
_cell_length_b 7.198
_cell_length_c 11.441
_cell_angle_alpha 90.00
_cell_angle_beta 93.90
_cell_angle_gamma 90.00
_symmetry_space_group_name_H-M 'P 1 21/c 1'
_symmetry_Int_Tables_number 14
_symmetry_space_group_name_Hall '-P 2ybc'
loop_
_atom_site_label
_atom_site_type_symbol
_atom_site_fract_x
_atom_site_fract_y
_atom_site_fract_z
Cu1 Cu 0.001 0.032 0.381
H1 H 0.116 0.560 0.429
H2 H 0.284 0.504 0.338
H3 H 0.295 0.521 0.638
H4 H 0.302 0.703 0.436
H5 H 0.386 0.750 0.158
H6 H 0.401 0.583 0.777
C1 C 0.217 0.616 0.379
C2 C 0.325 0.635 0.700
Se1 Se 0.111 0.724 0.756
I1 I 0.253 0.130 0.525

2.
# PaTeRu | Alexandria via LeMat-Bulk | PBE | optimized geometry
# calculated total energy: -7.8407 eV per atom
# formation energy without anion corrections: -0.536 eV per atom
data_PaTeRu
_cell_length_a 4.4409
_cell_length_b 4.4409
_cell_length_c 3.8531
_cell_angle_alpha 90.00
_cell_angle_beta 90.00
_cell_angle_gamma 120.00
_symmetry_space_group_name_H-M 'P 3 m 1'
_symmetry_Int_Tables_number 156
_symmetry_space_group_name_Hall 'P 3 -2"'
loop_
_atom_site_label
_atom_site_type_symbol
_atom_site_fract_x
_atom_site_fract_y
_atom_site_fract_z
Pa1 Pa 0.0000 0.0000 0.0000
Te1 Te 0.6667 0.3333 0.4836
Ru1 Ru 0.3333 0.6667 0.6089